Material: CaCoSb2Te
Method: DFT, GGA-PBE
State: relaxed

Cell lengths 5.7171, 5.7171, 5.6613 Å; angles 90.00, 90.00, 90.00 degrees
Space group P4/mmm (No. 123)
One atom of each set of equivalent atoms:
Ca (0.0000, 0.0000, 0.0000) (multiplicity 1)
Co (0.5000, 0.5000, 0.5000) (multiplicity 1)
Sb (0.0000, 0.5000, 0.0000) (multiplicity 2)
Te (0.0000, 0.0000, 0.5000) (multiplicity 1)

total magnetic moment: 2.16 μB/f.u.
offset from the most stable computed form: 1256 meV per atom
raw formation energy: 1.087 eV/atom



Material: CaV2CoSb
Method: DFT, GGA-PBE
State: relaxed

Cell lengths 5.1109, 5.1109, 5.7915 Å; angles 90.00, 90.00, 90.00 degrees
Space group P4/mmm (No. 123)
One atom of each set of equivalent atoms:
Ca (0.0000, 0.0000, 0.0000) (multiplicity 1)
V (0.0000, 0.5000, 0.5000) (multiplicity 2)
Co (0.5000, 0.5000, 0.0000) (multiplicity 1)
Sb (0.0000, 0.0000, 0.5000) (multiplicity 1)

total magnetic moment: 9.06 μB/f.u.
raw formation energy: 1.341 eV/atom



Material: Ca2ScCo
Method: DFT, GGA-PBE
State: relaxed

Cell lengths 4.4755, 4.4755, 4.9118 Å; angles 90.00, 90.00, 90.00 degrees
Space group P4/mmm (No. 123)
One atom of each set of equivalent atoms:
Ca (0.0000, 0.5000, 0.0000) (multiplicity 2)
Sc (0.0000, 0.0000, 0.5000) (multiplicity 1)
Co (0.5000, 0.5000, 0.5000) (multiplicity 1)

total magnetic moment: 0.63 μB/f.u.
offset from the most stable computed form: 409 meV per atom
energy of formation: 0.439 eV/atom